A relaxed KCdBiTe3 crystal, computed with PBE-GGA.

Cell lengths 4.578, 9.784, 10.663 Å; angles 105.54, 90.00, 90.00 degrees
Element x y z (fractional)
Cd: 0.750 0.915 0.391
Te: 0.250 0.777 0.470
Cd: 0.250 0.085 0.609
Te: 0.750 0.223 0.530
Te: 0.250 0.549 0.840
K: 0.250 0.199 0.242
Te: 0.250 0.110 0.881
Bi: 0.750 0.332 0.871
Te: 0.750 0.890 0.119
Te: 0.750 0.451 0.160
K: 0.750 0.801 0.758
Bi: 0.250 0.668 0.129

Values from the calculation:
Uncorrected formation energy in eV per atom: -0.5534


A relaxed Cd4AgAu4 crystal, computed with PBE-GGA.

Cell lengths 4.248, 6.723, 6.723 Å; angles 84.27, 71.59, 71.59 degrees
Element x y z (fractional)
Au: 0.332 0.668 0.668
Cd: 0.667 0.666 0.000
Ag: 0.000 0.000 0.000
Cd: 0.667 0.000 0.666
Au: 0.000 0.332 0.668
Cd: 0.333 0.000 0.334
Cd: 0.333 0.334 0.000
Au: 0.000 0.668 0.332
Au: 0.668 0.332 0.332

Values from the calculation:
Energy of formation from the pure elements in eV per atom: -0.121
Distance to the lowest polymorph of the same formula in kJ/mol of atoms: 0.0


no.,calculated density (g cm⁻³)
1,5.36
2,12.93